CePm5Sn8 | PBE | relaxed

For the density of states at the Fermi level, the calculation gives 1.076 states/eV/atom. Its formation energy is -0.545 eV/atom. The symmetry is I-4. The calculated volume comes out at 29.5 A^3/atom.

Geometry as POSCAR:
```
CePm5Sn8
1.0
-2.3581 7.4541 -2.2246
-5.2950 -5.5109 -2.7688
0.3258 -0.3199 8.1157
Ce Pm Sn
1 5 8
Cartesian
-2.9927 -1.1318 4.1462
-1.8533 -1.9758 -0.1101
-6.7559 1.6398 -2.4529
-4.9766 1.8535 1.7909
-1.0162 3.5671 2.9455
-1.0687 1.7292 7.0167
-4.1460 -3.1521 -1.9892
-2.4798 6.4986 3.2667
-3.1719 4.3081 0.5386
-3.3919 2.0688 4.7063
-4.1397 0.2720 -0.9916
-6.0152 -0.7759 3.2406
-2.0135 0.6761 1.7264
-3.9510 -3.4022 1.9912
```


TbPm6 | PBE | relaxed

For the density of states at the Fermi level, the calculation gives 0.802 states/eV/atom. Its formation energy is 1.263 eV/atom. The symmetry is Im-3m. The calculated volume comes out at 38.2 A^3/atom.

Geometry as POSCAR:
```
TbPm6
1.0
7.0314 0.0000 0.0000
-2.3438 6.6293 0.0000
-2.3438 -3.3147 5.7412
Tb Pm
1 6
Cartesian
0.0000 0.0000 0.0000
-1.1719 3.3147 2.8706
1.1719 4.1433 1.4353
-1.1719 0.8287 4.3059
3.5157 0.0000 2.8706
1.1719 -0.8287 4.3059
3.5157 2.4860 1.4353
```


BaInBiPd3 | PBE | relaxed

For the density of states at the Fermi level, the calculation gives 0.412 states/eV/atom. Its formation energy is -0.410 eV/atom. The symmetry is Cmcm. The calculated volume comes out at 25.7 A^3/atom.

Geometry as POSCAR:
```
BaInBiPd3
1.0
-4.1957 -0.3488 5.2567
-4.0785 -4.2725 -3.5388
5.4306 -3.0577 4.1316
Ba In Bi Pd
2 2 2 6
Cartesian
-1.1196 -3.3662 5.3545
-1.7239 -4.3128 0.4950
0.0528 -7.0339 1.7326
-2.8963 -0.6452 4.1170
1.4688 -3.9431 3.0679
-4.3123 -3.7359 2.7817
0.0692 -1.7997 2.0930
-1.1869 -1.2433 -1.0298
-4.9894 -3.2035 0.1194
-3.2847 -1.4177 1.5985
-2.8916 -3.0291 -2.5089
-2.9128 -5.8793 3.7566
```


Te2WN2 | PBE | relaxed

For the density of states at the Fermi level, the calculation gives 1.099 states/eV/atom. The symmetry is P4/mmm. The calculated volume comes out at 19.4 A^3/atom. The formation energy without anion corrections comes out at 0.63 eV/atom.

Geometry as POSCAR:
```
Te2WN2
1.0
-0.9802 -2.2395 3.2101
3.4615 1.0488 1.7886
-2.6932 4.6996 2.4563
Te W N
2 1 2
Cartesian
-0.1060 1.7544 3.7275
-1.3466 2.3498 1.2281
0.0000 0.0000 0.0000
1.7307 0.5244 0.8943
-0.4901 -1.1198 1.6050
```


Ta4Hg5 | PBE | relaxed

For the density of states at the Fermi level, the calculation gives 0.687 states/eV/atom. Its formation energy is 0.602 eV/atom. The symmetry is P6_3/mcm. The calculated volume comes out at 20.2 A^3/atom.

Geometry as POSCAR:
```
Ta4Hg5
1.0
-8.2135 1.8210 -0.5207
-4.0112 -0.6947 -7.3808
-1.3236 -5.6132 1.2477
Hg Ta
10 8
Cartesian
-5.8292 -1.2078 -4.6413
-1.7504 -1.6491 -2.2999
-5.6379 -0.2267 -0.0245
-7.7192 -3.2791 -2.0126
-3.5845 -4.6588 -3.8332
-3.8992 -3.5655 0.7515
-4.0749 0.3754 -2.6338
-8.8116 -2.0557 -4.6439
-8.1498 0.7509 -5.2677
-4.7367 -2.4312 -2.0100
0.0000 0.0000 0.0000
-0.6618 -2.8066 0.6238
-7.3029 -0.3255 -2.2356
-3.1571 -1.8928 -4.8883
-2.7575 -0.8653 0.1581
-6.2455 -4.1614 -4.4183
-2.1778 -4.4151 -1.2448
-6.7796 -2.9269 0.5689
```


AlInIr2 | PBE | relaxed

For the density of states at the Fermi level, the calculation gives 0.637 states/eV/atom. Its formation energy is -0.196 eV/atom. The symmetry is Imm2. The calculated volume comes out at 16.1 A^3/atom.

Geometry as POSCAR:
```
AlInIr2
1.0
-1.1730 -4.7162 -2.6678
3.8838 -3.1226 -2.4292
-1.9167 2.3719 4.6299
Ir Al In
2 1 1
Cartesian
2.6896 -7.7775 -5.0572
-0.9253 -2.9638 -0.1840
1.4148 -4.0910 -2.6601
1.6811 -2.3926 -0.2114
```


NdCdRh | PBE | relaxed

For the density of states at the Fermi level, the calculation gives 0.400 states/eV/atom. Its formation energy is -0.429 eV/atom. The symmetry is F-43m. The calculated volume comes out at 25.3 A^3/atom.

Geometry as POSCAR:
```
NdCdRh
1.0
-3.2128 -2.4354 2.5209
1.4201 -2.9175 3.4755
-0.8176 1.1397 4.5432
Rh Nd Cd
1 1 1
Cartesian
-0.6526 -1.0533 2.6349
0.0000 0.0000 0.0000
-1.3052 -2.1066 5.2698
```


TiNb2Co | PBE | relaxed

For the density of states at the Fermi level, the calculation gives 0.828 states/eV/atom. Its formation energy is -0.044 eV/atom. The symmetry is P4/mmm. The calculated volume comes out at 15.9 A^3/atom.

Geometry as POSCAR:
```
TiNb2Co
1.0
-2.4449 -1.3768 -1.3414
1.4680 -2.7385 0.1351
-2.6229 -1.1137 5.9236
Nb Co Ti
2 1 1
Cartesian
-2.0121 -0.8544 4.5443
-0.6107 -0.2593 1.3793
-0.4885 -2.0576 -0.6032
-1.7999 -2.6145 2.3587
```


RbCd2P | PBE | relaxed

For the density of states at the Fermi level, the calculation gives 0.346 states/eV/atom. Its formation energy is -0.157 eV/atom. The symmetry is P4/nmm. The calculated volume comes out at 30.9 A^3/atom.

Geometry as POSCAR:
```
RbCd2P
1.0
4.3905 0.0000 0.0000
0.0000 4.3905 0.0000
0.0000 0.0000 12.8404
Rb Cd P
2 4 2
Cartesian
2.1953 0.0000 3.3056
0.0000 2.1953 9.5348
2.1953 0.0000 12.4390
0.0000 2.1953 0.4013
0.0000 0.0000 6.4202
2.1953 2.1953 6.4202
2.1953 0.0000 8.0182
0.0000 2.1953 4.8221
```


InCuW2 | PBE | relaxed

For the density of states at the Fermi level, the calculation gives 0.422 states/eV/atom. Its formation energy is 0.491 eV/atom. The symmetry is Imm2. The calculated volume comes out at 16.4 A^3/atom.

Geometry as POSCAR:
```
InCuW2
1.0
5.0676 -0.0049 -0.0159
1.8644 4.7122 0.0159
-3.0247 -3.0035 2.7406
Cu In W
1 1 2
Cartesian
3.4674 2.3546 0.0000
1.2302 2.0838 1.3783
6.8413 4.6457 0.0000
2.7663 -0.3193 1.3623
```


Ta2TeSe | PBE | relaxed

For the density of states at the Fermi level, the calculation gives 0.852 states/eV/atom. The symmetry is Cmmm. The calculated volume comes out at 20.0 A^3/atom. The formation energy without anion corrections comes out at 0.42 eV/atom.

Geometry as POSCAR:
```
Ta2TeSe
1.0
3.2001 0.0027 0.0000
-1.4855 2.8344 0.0000
0.0000 0.0000 8.8088
Se Ta Te
1 2 1
Cartesian
0.8573 1.4185 6.6066
0.0000 0.0000 8.6877
0.0000 0.0000 4.5256
0.8573 1.4185 2.2022
```


Ca3PmSm4Se8 | PBE | relaxed

For the density of states at the Fermi level, the calculation gives 0.444 states/eV/atom. The symmetry is R-3m. The calculated volume comes out at 25.9 A^3/atom. The formation energy without anion corrections comes out at -1.88 eV/atom.

Geometry as POSCAR:
```
Ca3PmSm4Se8
1.0
-3.3561 5.0494 -5.7249
3.2504 -4.7585 -6.1025
-4.8335 -3.4809 5.8363
Ca Pm Sm Se
3 1 4 8
Cartesian
-0.0528 0.1455 -5.9137
-2.4696 -1.5950 -2.9955
-0.7915 -4.1197 -0.1331
1.6252 -2.3792 -3.0512
-1.6780 2.5247 -2.8625
-4.0948 0.7843 0.0557
0.0000 0.0000 0.0000
-2.4167 -1.7405 2.9182
-3.2299 -5.7645 -0.1796
-0.8344 -4.0382 -3.0725
-2.4470 -1.6811 -0.0482
-4.8940 -3.2608 -3.0183
-0.0452 0.0708 -2.9728
-2.4921 -1.5089 -5.9429
-4.1047 0.8482 -2.9186
-1.7092 2.5745 -5.8115
```


AcPm2Pr8 | PBE | relaxed

For the density of states at the Fermi level, the calculation gives 1.430 states/eV/atom. Its formation energy is 0.109 eV/atom. The symmetry is Immm. The calculated volume comes out at 37.1 A^3/atom.

Geometry as POSCAR:
```
AcPm2Pr8
1.0
-2.4328 -5.0271 -1.2166
1.4217 -2.6537 8.1220
-6.8287 6.8415 -1.1874
Ac Pm Pr
1 2 8
Cartesian
-1.2164 -2.5135 -0.6083
-2.2335 -0.1218 4.9697
-5.6063 -0.7174 0.7483
-2.3354 -3.5122 5.7556
-4.9285 1.5963 3.2593
-2.3218 0.9500 0.7176
-8.8396 1.0275 0.0039
-5.5180 -1.7892 5.0003
-2.9113 -2.4355 2.4586
-5.5044 2.6729 -0.0376
0.9998 -1.8667 5.7140
```